Record 1
Computed, not measured: a geometry-optimized Pm3AgHg3 structure at the PBE level of DFT.

Its total magnetization is 0.00 μB per cell. The value obtained for the calculated density is 9.77 g cm⁻³. The final energy comes out at -0.2105 Ry/atom. The formation energy is -291 meV per atom. Its space-group type is No. 12.

Cell and atoms, written as POSCAR:
```
Pm3AgHg3
1.0
-4.084 -3.929 -4.601
5.202 -5.092 -0.555
-2.923 -3.481 5.715
Pm Hg Ag
6 6 2
direct
0.922 0.922 0.236
0.078 0.078 0.764
0.052 0.438 0.247
0.438 0.052 0.247
0.562 0.948 0.753
0.948 0.562 0.753
0.760 0.240 0.500
0.651 0.651 0.437
0.745 0.255 0.000
0.349 0.349 0.563
0.255 0.745 0.000
0.240 0.760 0.500
0.357 0.357 0.952
0.643 0.643 0.048
```

***

Record 2
Computed, not measured: a geometry-optimized PmAgHg structure at the PBE level of DFT.

Its total magnetization is 0.00 μB per cell. The value obtained for the calculated density is 10.37 g cm⁻³. As for the polymorph energy (0 for the lowest one): 10 meV per atom. The final energy comes out at -0.2203 Ry/atom. The formation energy is -362 meV per atom. Its space-group type is No. 12.

Cell and atoms, written as POSCAR:
```
PmAgHg
1.0
-2.696 1.318 3.920
-0.664 -4.353 4.115
3.238 1.201 4.932
Pm Hg Ag
2 2 2
direct
0.499 0.752 0.251
0.501 0.248 0.749
0.171 0.331 0.327
0.829 0.669 0.673
0.837 0.165 0.162
0.163 0.835 0.838
```

***

Record 3
Computed, not measured: a geometry-optimized PmAgHg structure at the PBE level of DFT.

Its total magnetization is 0.00 μB per cell. The value obtained for the calculated density is 8.43 g cm⁻³. As for the polymorph energy (0 for the lowest one): 492 meV per atom. The final energy comes out at -0.1849 Ry/atom. The formation energy is 119 meV per atom. Its space-group type is No. 107.

Cell and atoms, written as POSCAR:
```
PmAgHg
1.0
-2.322 -2.170 1.005
2.257 -2.452 -0.080
1.941 3.817 7.201
Ag Hg Pm
1 1 1
direct
0.465 0.465 0.930
0.290 0.290 0.579
0.095 0.095 0.191
```

***

Record 4
Computed, not measured: a geometry-optimized PmAgHg3 structure at the PBE level of DFT.

Its total magnetization is 0.00 μB per cell. The value obtained for the calculated density is 11.93 g cm⁻³. As for the polymorph energy (0 for the lowest one): 0 meV per atom. The final energy comes out at -0.1442 Ry/atom. The formation energy is -261 meV per atom. Its space-group type is No. 11.

Cell and atoms, written as POSCAR:
```
PmAgHg3
1.0
-1.528 1.389 -4.705
-4.932 -0.775 1.373
-1.341 9.191 0.368
Pm Ag Hg
2 2 6
direct
0.056 0.844 0.609
0.355 0.344 0.005
0.862 0.844 0.995
0.550 0.344 0.620
0.956 0.344 0.805
0.455 0.844 0.809
0.156 0.344 0.407
0.657 0.844 0.409
0.755 0.344 0.206
0.255 0.844 0.208
```

***

Record 5
Computed, not measured: a geometry-optimized Pm2Ag15Hg2 structure at the PBE level of DFT.

Its total magnetization is 0.00 μB per cell. The value obtained for the calculated density is 9.80 g cm⁻³. The final energy comes out at -0.2097 Ry/atom. The formation energy is -70 meV per atom. Its space-group type is No. 166.

Cell and atoms, written as POSCAR:
```
Pm2Ag15Hg2
1.0
-1.349 1.319 -7.118
5.505 -4.063 -2.724
-3.938 -6.084 -1.308
Ag Pm Hg
15 2 2
direct
0.690 0.310 0.000
0.310 0.000 0.690
0.000 0.310 0.690
0.351 0.837 0.351
0.000 0.690 0.310
0.351 0.351 0.837
0.500 0.000 0.000
0.310 0.690 0.000
0.649 0.649 0.163
0.000 0.500 0.000
0.837 0.351 0.351
0.690 0.000 0.310
0.163 0.649 0.649
0.000 0.000 0.500
0.649 0.163 0.649
0.650 0.650 0.650
0.350 0.350 0.350
0.892 0.892 0.892
0.108 0.108 0.108
```

***

Record 6
Computed, not measured: a geometry-optimized Pm2AgHg6 structure at the PBE level of DFT.

Its total magnetization is 0.00 μB per cell. The value obtained for the calculated density is 11.30 g cm⁻³. As for the polymorph energy (0 for the lowest one): 110 meV per atom. The final energy comes out at -0.1295 Ry/atom. The formation energy is -188 meV per atom. Its space-group type is No. 12.

Cell and atoms, written as POSCAR:
```
Pm2AgHg6
1.0
5.643 0.000 -0.419
0.000 8.137 0.000
-2.678 -4.068 5.322
Hg Pm Ag
6 2 1
direct
0.500 0.823 0.000
0.067 0.833 0.292
0.500 0.177 0.000
0.933 0.541 0.708
0.067 0.459 0.292
0.933 0.167 0.708
0.414 0.317 0.633
0.586 0.683 0.367
0.000 0.000 0.000
```

***

Record 7
Computed, not measured: a geometry-optimized Pm4Ag3Hg structure at the PBE level of DFT.

Its total magnetization is 0.00 μB per cell. The value obtained for the calculated density is 8.68 g cm⁻³. As for the polymorph energy (0 for the lowest one): 0 meV per atom. The final energy comes out at -0.2796 Ry/atom. The formation energy is -322 meV per atom. Its space-group type is No. 47.

Cell and atoms, written as POSCAR:
```
Pm4Ag3Hg
1.0
3.747 0.000 0.000
0.000 5.315 0.000
0.000 0.000 10.605
Ag Pm Hg
3 4 1
direct
0.500 0.500 0.500
0.500 0.000 0.251
0.500 0.000 0.749
0.000 0.500 0.254
0.000 0.000 0.500
0.000 0.000 0.000
0.000 0.500 0.746
0.500 0.500 0.000
```

***

Record 8
Computed, not measured: a geometry-optimized PmAgHg4 structure at the PBE level of DFT.

Its total magnetization is 0.00 μB per cell. The value obtained for the calculated density is 12.00 g cm⁻³. As for the polymorph energy (0 for the lowest one): 4 meV per atom. The final energy comes out at -0.1224 Ry/atom. The formation energy is -197 meV per atom. Its space-group type is No. 36.

Cell and atoms, written as POSCAR:
```
PmAgHg4
1.0
-0.114 -0.654 -4.993
-3.804 -6.117 0.888
-6.742 4.499 2.105
Hg Pm Ag
8 2 2
direct
0.200 0.925 0.400
0.982 0.244 0.964
0.800 0.425 0.600
0.649 0.139 0.298
0.018 0.744 0.036
0.527 0.459 0.053
0.473 0.959 0.947
0.351 0.639 0.702
0.829 0.938 0.658
0.171 0.438 0.342
0.656 0.728 0.313
0.344 0.228 0.687
```